An optimized crystal structure of Ba3V2H12C10O28, computed with PBE+U.

For the spin magnetization, the calculation gives 4.0 μB/cell. The space group is No. 15. The calculation puts the total energy at -6.77 eV/atom. For the density of states at the Fermi level, the calculation gives 0.00 states/eV/cell.

a = 9.230 Å, b = 9.230 Å, c = 18.867 Å
α = 95.87°, β = 95.87°, γ = 111.55°
Site moments in Bohr magnetons follow the coordinates.
Atoms (fractional coordinates):
Ba 0.784 0.216 0.750  0.00
Ba 0.216 0.784 0.250  0.00
Ba 0.793 0.850 0.547  0.00
Ba 0.150 0.207 0.953  0.00
Ba 0.207 0.150 0.453  0.00
Ba 0.850 0.793 0.047  0.00
V 0.406 0.209 0.654  1.08
V 0.791 0.594 0.846  1.08
V 0.594 0.791 0.346  1.08
V 0.209 0.406 0.154  1.08
H 0.133 0.793 0.535  0.00
H 0.207 0.867 0.965  0.00
H 0.867 0.207 0.465  0.00
H 0.793 0.133 0.035  0.00
H 0.033 0.716 0.459  0.00
H 0.284 0.967 0.041  0.00
H 0.967 0.284 0.541  0.00
H 0.716 0.033 0.959  0.00
H 0.513 0.075 0.888  0.00
H 0.925 0.487 0.612  0.00
H 0.487 0.925 0.112  0.00
H 0.075 0.513 0.388  0.00
H 0.467 0.896 0.889  0.00
H 0.104 0.533 0.611  0.00
H 0.533 0.104 0.111  0.00
H 0.896 0.467 0.389  0.00
H 0.347 0.694 0.584  0.00
H 0.306 0.653 0.916  0.00
H 0.653 0.306 0.416  0.00
H 0.694 0.347 0.084  0.00
H 0.320 0.811 0.642  0.00
H 0.189 0.680 0.858  0.00
H 0.680 0.189 0.358  0.00
H 0.811 0.320 0.142  0.00
C 0.650 0.491 0.622  0.01
C 0.509 0.350 0.878  0.01
C 0.350 0.509 0.378  0.01
C 0.491 0.650 0.122  0.01
C 0.495 0.505 0.590  0.00
C 0.495 0.505 0.910  0.00
C 0.505 0.495 0.410  0.00
C 0.505 0.495 0.090  0.00
C 0.853 0.909 0.831  0.00
C 0.091 0.147 0.669  0.00
C 0.147 0.091 0.169  0.00
C 0.909 0.853 0.331  0.00
C 0.718 0.811 0.769  0.00
C 0.189 0.282 0.731  0.00
C 0.282 0.189 0.231  0.00
C 0.811 0.718 0.269  0.00
C 0.517 0.042 0.540  0.00
C 0.958 0.483 0.960  0.00
C 0.483 0.958 0.460  0.00
C 0.042 0.517 0.040  0.00
O 0.629 0.373 0.657  -0.01
O 0.627 0.371 0.843  -0.01
O 0.371 0.627 0.343  -0.01
O 0.373 0.629 0.157  -0.01
O 0.780 0.585 0.611  0.01
O 0.415 0.220 0.889  0.01
O 0.220 0.415 0.389  0.01
O 0.585 0.780 0.111  0.01
O 0.371 0.383 0.588  0.00
O 0.617 0.629 0.912  0.00
O 0.629 0.617 0.412  0.00
O 0.383 0.371 0.088  0.00
O 0.503 0.631 0.567  0.00
O 0.369 0.497 0.933  0.00
O 0.497 0.369 0.433  0.00
O 0.631 0.503 0.067  0.00
O 0.914 0.056 0.837  0.00
O 0.944 0.086 0.663  0.00
O 0.086 0.944 0.163  0.00
O 0.056 0.914 0.337  0.00
O 0.899 0.830 0.875  -0.01
O 0.170 0.101 0.625  -0.01
O 0.101 0.170 0.125  -0.01
O 0.830 0.899 0.375  -0.01
O 0.671 0.880 0.724  0.00
O 0.120 0.329 0.776  0.00
O 0.329 0.120 0.276  0.00
O 0.880 0.671 0.224  0.00
O 0.668 0.661 0.770  0.00
O 0.339 0.332 0.730  0.00
O 0.332 0.339 0.230  0.00
O 0.661 0.668 0.270  0.00
O 0.420 0.109 0.554  -0.01
O 0.891 0.580 0.946  -0.01
O 0.580 0.891 0.446  -0.01
O 0.109 0.420 0.054  -0.01
O 0.630 0.042 0.582  0.01
O 0.958 0.370 0.918  0.01
O 0.370 0.958 0.418  0.01
O 0.042 0.630 0.082  0.01
O 0.459 0.093 0.703  -0.12
O 0.907 0.541 0.797  -0.12
O 0.541 0.907 0.297  -0.12
O 0.093 0.459 0.203  -0.12
O 0.055 0.806 0.498  0.00
O 0.194 0.945 0.002  0.00
O 0.945 0.194 0.502  0.00
O 0.806 0.055 0.998  0.00
O 0.560 0.995 0.891  0.00
O 0.005 0.440 0.609  0.00
O 0.440 0.005 0.109  0.00
O 0.995 0.560 0.391  0.00
O 0.265 0.732 0.600  0.00
O 0.268 0.735 0.900  0.00
O 0.735 0.268 0.400  0.00
O 0.732 0.265 0.100  0.00